No. 1
First-principles (PBE-GGA) data for an optimized crystal structure of K2RePb, as listed in Alexandria.

## Properties
**Energy of formation from the pure elements**: 1.14 eV per atom
**VASP energy**: -3.443 eV per atom
**Volume**: 113 Å³/f.u.

Cell and atoms, written as CIF:
```
data_K2RePb
_cell_length_a 4.391
_cell_length_b 4.391
_cell_length_c 11.699
_cell_angle_alpha 90.00
_cell_angle_beta 90.00
_cell_angle_gamma 90.00
_symmetry_space_group_name_H-M 'I 4/m m m'
_symmetry_Int_Tables_number 139
_symmetry_space_group_name_Hall '-I 4 2'
loop_
_atom_site_label
_atom_site_type_symbol
_atom_site_fract_x
_atom_site_fract_y
_atom_site_fract_z
K1 K 0.000 0.500 0.250
Re1 Re 0.000 0.000 0.000
Pb1 Pb 0.000 0.000 0.500
```

No. 2
First-principles (PBE-GGA) data for an optimized crystal structure of ErTlTe4, as listed in Alexandria.

## Properties
**Raw formation energy**: -675 meV per atom
**VASP energy**: -3.924 eV per atom
**Volume**: 202 Å³/f.u.

Cell and atoms, written as CIF:
```
data_ErTlTe4
_cell_length_a 6.809
_cell_length_b 6.809
_cell_length_c 8.719
_cell_angle_alpha 90.00
_cell_angle_beta 90.00
_cell_angle_gamma 90.00
_symmetry_space_group_name_H-M 'P 4/n b m'
_symmetry_Int_Tables_number 125
loop_
_symmetry_equiv_pos_as_xyz
'x,y,z'
'-x,-y,-z'
'-y+1/2,x,z'
'y+1/2,-x,-z'
'-x+1/2,-y+1/2,z'
'x+1/2,y+1/2,-z'
'y,-x+1/2,z'
'-y,x+1/2,-z'
'x,-y+1/2,-z'
'-x,y+1/2,z'
'-y+1/2,-x+1/2,-z'
'y+1/2,x+1/2,z'
'-x+1/2,y,-z'
'x+1/2,-y,z'
'y,x,-z'
'-y,-x,z'
loop_
_atom_site_label
_atom_site_type_symbol
_atom_site_fract_x
_atom_site_fract_y
_atom_site_fract_z
Er1 Er 0.250 0.250 0.000
Tl1 Tl 0.250 0.250 0.500
Te1 Te 0.103 0.603 0.210
```

Record order is preserved below.
Total magnetic moment: 2.8, 0.0 μB per formula unit